Crystalline ErCrAs2O8 at its relaxed geometry, computed with PBE+U.

Output
mass density	5.49	Mg/m³
calculated total energy	-81.9	eV per formula unit

Cell: 5.8142 5.8142 5.8142 Å, 106.88 106.88 114.80°
Closest atoms and distances in Å follow each position.
Fractional positions:
Er 0.0000 0.0000 0.0000  8 O 2.24-2.39
Cr 0.2500 0.7500 0.5000  8 O 2.20-2.35
As 0.5000 0.5000 0.0000  4 O 1.73
As 0.7500 0.2500 0.5000  4 O 1.71
O 0.3187 0.1303 0.8116  1 As 1.73
O 0.3187 0.5071 0.1884  1 As 1.73
O 0.3835 0.0656 0.3179  1 As 1.71
O 0.4929 0.6813 0.8116  1 As 1.73
O 0.7478 0.0656 0.6821  1 As 1.71
O 0.8697 0.6813 0.1884  1 As 1.73
O 0.9344 0.2522 0.3179  1 As 1.71
O 0.9344 0.6165 0.6821  1 As 1.71